(1)
Computed, not measured: a relaxed Pr3HoS4 crystal at the PBE level of DFT.

The structure belongs to space group P2/c (No. 13); the cell edges are 7.074, 8.049 and 7.007 Å and the angles 90.00°, 109.32° and 90.00°. Symmetry generates all atoms from Pr at (0.000, 0.123, 0.250), Pr at (0.000, 0.374, 0.750), Pr at (0.500, 0.124, 0.750), Ho at (0.500, 0.374, 0.250), S at (0.258, 0.133, 0.008) and S at (0.264, 0.382, 0.500).

The calculation puts the polymorph energy (0 for the lowest one) at 0 meV/atom. Its magnetization is 0.00 μB per formula unit. For the energy relative to the elements, uncorrected, the calculation gives -2.007 eV/atom.

(2)
Computed, not measured: a relaxed PrDyCO crystal at the PBE level of DFT.

The structure belongs to space group Imm2 (No. 44); the cell edges are 3.221, 3.380 and 12.243 Å and the angles 90.00°, 90.00° and 90.00°. Symmetry generates all atoms from Pr at (0.000, 0.000, 0.000), Dy at (0.000, 0.500, 0.251), C at (0.000, 0.500, 0.839) and O at (0.000, 0.000, 0.596).

Its magnetization is 0.00 μB per formula unit. For the energy relative to the elements, uncorrected, the calculation gives -1.117 eV/atom.

(3)
Computed, not measured: a relaxed Pm3PrSm6Ho2 crystal at the PBE level of DFT.

The structure belongs to space group C2/m (No. 12); the cell edges are 6.277, 10.867 and 12.026 Å and the angles 90.00°, 100.02° and 90.00°. Symmetry generates all atoms from Pm at (0.000, 0.000, 0.000), Pm at (0.000, 0.333, 0.000), Pr at (0.000, 0.500, 0.500), Sm at (0.249, 0.000, 0.748), Sm at (0.250, 0.167, 0.251) and Ho at (0.000, 0.167, 0.500).

Its magnetization is 0.00 μB per formula unit. The energy of formation from the pure elements is 1.44 kJ/mol of atoms.

(4)
Computed, not measured: a relaxed Pa4CrN7 crystal at the PBE level of DFT.

The structure belongs to space group C2/m (No. 12); the cell edges are 12.794, 3.818 and 9.015 Å and the angles 90.00°, 132.93° and 90.00°. Symmetry generates all atoms from Pa at (0.079, 0.000, 0.373), Pa at (0.248, 0.000, 0.162), Cr at (0.000, 0.500, 0.000), N at (0.000, 0.000, 0.000), N at (0.094, 0.500, 0.890), N at (0.127, 0.000, 0.683) and N at (0.198, 0.500, 0.543).

Its magnetization is 1.94 μB per formula unit. For the energy relative to the elements, uncorrected, the calculation gives -1.515 eV/atom.

(5)
Computed, not measured: a relaxed RbIn2Ru crystal at the PBE level of DFT.

The structure belongs to space group I4_1/amd (No. 141, origin choice 2); the cell edges are 6.634, 6.634 and 15.463 Å and the angles 90.00°, 90.00° and 90.00°. Symmetry generates all atoms from Rb at (0.000, 0.250, 0.375), In at (0.000, 0.000, 0.000) and Ru at (0.000, 0.250, 0.875).

The calculation puts the polymorph energy (0 for the lowest one) at 0 meV/atom. Its magnetization is 0.00 μB per formula unit. The energy of formation from the pure elements is 36.25 kJ/mol of atoms.

(6)
Computed, not measured: a relaxed MnCdPd2 crystal at the PBE level of DFT.

The structure belongs to space group I-42d (No. 122); the cell edges are 7.150, 7.150 and 5.622 Å and the angles 90.00°, 90.00° and 90.00°. Symmetry generates all atoms from Mn at (0.000, 0.000, 0.000), Cd at (0.000, 0.000, 0.500) and Pd at (0.229, 0.250, 0.125).

Its magnetization is 4.70 μB per formula unit. The energy of formation from the pure elements is 5.41 kJ/mol of atoms.

(7)
Computed, not measured: a relaxed CaH3Pt crystal at the PBE level of DFT.

The structure belongs to space group C2/m (No. 12); the cell edges are 11.187, 3.662 and 5.662 Å and the angles 90.00°, 90.05° and 90.00°. Symmetry generates all atoms from Ca at (0.145, 0.000, 0.260), H at (0.022, 0.000, 0.946), H at (0.091, 0.000, 0.663), H at (0.167, 0.500, 0.933) and Pt at (0.086, 0.500, 0.672).

Its magnetization is 0.00 μB per formula unit. The calculation puts the final energy at -0.146 hartree per atom.

(8)
Computed, not measured: a relaxed Ni2B2Mo crystal at the PBE level of DFT.

The structure belongs to space group P2_1/m (No. 11); the cell edges are 3.673, 3.140 and 8.424 Å and the angles 90.00°, 96.50° and 90.00°. Symmetry generates all atoms from Ni at (0.137, 0.250, 0.108), Ni at (0.248, 0.750, 0.496), B at (0.207, 0.250, 0.345), B at (0.384, 0.750, 0.982) and Mo at (0.333, 0.250, 0.757).

The calculation puts the polymorph energy (0 for the lowest one) at 0 meV/atom. Its magnetization is 0.00 μB per formula unit. The energy of formation from the pure elements is -25.35 kJ/mol of atoms.

(9)
Computed, not measured: a relaxed Mg2ScMn crystal at the PBE level of DFT.

The structure belongs to space group Fm-3m (No. 225); the cell edges are 6.819, 6.819 and 6.819 Å and the angles 90.00°, 90.00° and 90.00°. Symmetry generates all atoms from Mg at (0.250, 0.250, 0.250), Sc at (0.000, 0.000, 0.000) and Mn at (0.000, 0.000, 0.500).

The calculation puts the polymorph energy (0 for the lowest one) at 99 meV/atom. Its magnetization is 3.35 μB per formula unit. The energy of formation from the pure elements is 13.28 kJ/mol of atoms.

(10)
Computed, not measured: a relaxed CrCo2Ir crystal at the PBE level of DFT.

The structure belongs to space group R3m (No. 160, hexagonal axes); the cell edges are 2.6198, 2.6198 and 24.8587 Å and the angles 90.00°, 90.00° and 120.00°. Symmetry generates all atoms from Cr at (0.0000, 0.0000, 0.0000), Co at (0.0000, 0.0000, 0.4941), Co at (0.0000, 0.0000, 0.7494) and Ir at (0.0000, 0.0000, 0.2500).

The calculation puts the polymorph energy (0 for the lowest one) at 164 meV/atom. Its magnetization is 2.85 μB per formula unit. The energy of formation from the pure elements is 8.18 kJ/mol of atoms.

(11)
Computed, not measured: a relaxed SiAs2Br2 crystal at the PBE level of DFT.

The structure belongs to space group P4/mbm (No. 127); the cell edges are 8.735, 8.735 and 3.184 Å and the angles 90.00°, 90.00° and 90.00°. Symmetry generates all atoms from Si at (0.000, 0.000, 0.000), As at (0.212, 0.288, 0.500) and Br at (0.121, 0.621, 0.000).

The calculation puts the polymorph energy (0 for the lowest one) at 570 meV/atom. Its magnetization is 0.00 μB per formula unit. For the energy relative to the elements, uncorrected, the calculation gives 0.814 eV/atom.

(12)
Computed, not measured: a relaxed HoTm2CdRh4 crystal at the PBE level of DFT.

The structure belongs to space group R-3m (No. 166, hexagonal axes); the cell edges are 4.7311, 4.7311 and 23.0794 Å and the angles 90.00°, 90.00° and 120.00°. Symmetry generates all atoms from Ho at (0.0000, 0.0000, 0.0000), Tm at (0.0000, 0.0000, 0.2440), Cd at (0.0000, 0.0000, 0.5000), Rh at (0.0000, 0.0000, 0.1224) and Rh at (0.0000, 0.0000, 0.3747).

Its magnetization is 0.00 μB per formula unit. The energy of formation from the pure elements is -77.91 kJ/mol of atoms.